A geometry-optimized CdGa2SiO6 structure, computed with GGA-PBE.

Cell: 5.7263 7.0910 7.0910 Å, 100.36 74.27 74.27°
Sites, in units of the cell vectors:
1 Cd 0.2500 0.8943 0.1057
2 Cd 0.7500 0.1057 0.8943
3 Ga 0.3400 0.7146 0.5513
4 Ga 0.1600 0.4487 0.2854
5 Ga 0.6600 0.2854 0.4487
6 Ga 0.8400 0.5513 0.7146
7 Si 0.2500 0.1859 0.8141
8 Si 0.7500 0.8141 0.1859
9 O 0.1923 0.9655 0.7852
10 O 0.3077 0.2148 0.0345
11 O 0.8077 0.0345 0.2148
12 O 0.6923 0.7852 0.9655
13 O 0.4736 0.8368 0.3497
14 O 0.0264 0.6503 0.1632
15 O 0.5264 0.1632 0.6503
16 O 0.9736 0.3497 0.8368
17 O 0.0207 0.6867 0.5610
18 O 0.4793 0.4390 0.3133
19 O 0.9793 0.3133 0.4390
20 O 0.5207 0.5610 0.6867

N(E_F), states/eV/f.u.: 0.0
Space group: C2/c

A geometry-optimized Cd2GaSnO6 structure, computed with GGA-PBE.

Cell: 5.1705 5.1685 5.1685 Å, 90.00 90.00 90.00°
Sites, in units of the cell vectors:
1 Cd 0.0189 0.5000 0.0000
2 Cd 0.0189 0.0000 0.5000
3 Ga 0.5671 0.0000 0.0000
4 Sn 0.5653 0.5000 0.5000
5 O 0.7204 0.2441 0.2441
6 O 0.7204 0.2441 0.7559
7 O 0.1838 0.5000 0.5000
8 O 0.2111 0.0000 0.0000
9 O 0.7204 0.7559 0.7559
10 O 0.7204 0.7559 0.2441

N(E_F), states/eV/f.u.: 4.7
Space group: P4mm

A geometry-optimized SrCdGaO2 structure, computed with GGA-PBE.

Cell: 4.6306 6.3610 4.6306 Å, 90.00 90.00 90.00°
Sites, in units of the cell vectors:
1 Sr 0.0000 0.0000 0.0000
2 O 0.0000 0.0000 0.5000
3 O 0.5000 0.0000 0.0000
4 Ga 0.5000 0.5000 0.5000
5 Cd 0.0000 0.5000 0.0000

N(E_F), states/eV/f.u.: 2.9
Space group: P4/mmm

A geometry-optimized Sr2CdGaO structure, computed with GGA-PBE.

Cell: 5.1214 4.7470 5.1214 Å, 90.00 90.00 90.00°
Sites, in units of the cell vectors:
1 Sr 0.0000 0.0000 0.5000
2 Sr 0.5000 0.0000 0.0000
3 O 0.0000 0.0000 0.0000
4 Ga 0.0000 0.5000 0.0000
5 Cd 0.5000 0.5000 0.5000

N(E_F), states/eV/f.u.: 2.3
Space group: P4/mmm

A geometry-optimized Sr2CdGaO5 structure, computed with GGA-PBE.

Cell: 3.3856 7.6889 10.1655 Å, 90.00 90.00 102.72°
Sites, in units of the cell vectors:
1 Sr 0.8769 0.7539 0.7888
2 Sr 0.1178 0.2356 0.7029
3 Sr 0.1231 0.2461 0.2888
4 Sr 0.8822 0.7644 0.2029
5 Cd 0.7808 0.5616 0.5024
6 Cd 0.2192 0.4384 0.0024
7 Ga 0.5090 0.0180 0.9773
8 Ga 0.4910 0.9820 0.4773
9 O 0.3847 0.7693 0.0104
10 O 0.7123 0.4247 0.8593
11 O 0.5064 0.0128 0.7941
12 O 0.2856 0.5712 0.6483
13 O 0.9463 0.8926 0.5405
14 O 0.6153 0.2307 0.5104
15 O 0.2877 0.5753 0.3593
16 O 0.4936 0.9872 0.2941
17 O 0.7144 0.4288 0.1483
18 O 0.0537 0.1074 0.0405

N(E_F), states/eV/f.u.: 2.7
Space group: Cmc2_1

A geometry-optimized TbCdGaO4 structure, computed with GGA-PBE.

Cell: 6.2953 6.4698 6.4698 Å, 62.22 60.89 60.89°
Sites, in units of the cell vectors:
1 Tb 0.0000 0.0000 0.0000
2 Tb 0.0000 0.5000 0.5000
3 Cd 0.5000 0.0000 0.5000
4 Cd 0.0000 0.0000 0.5000
5 Ga 0.6286 0.6214 0.1214
6 Ga 0.3714 0.3786 0.8786
7 O 0.7488 0.7359 0.7666
8 O 0.2512 0.7334 0.7641
9 O 0.7488 0.2666 0.2359
10 O 0.2512 0.2641 0.2334
11 O 0.2574 0.7425 0.2425
12 O 0.7576 0.7425 0.2425
13 O 0.2424 0.2575 0.7575
14 O 0.7426 0.2575 0.7575

Space group: Imma

A geometry-optimized Cd2GaTcO6 structure, computed with GGA-PBE.

Cell: 5.0115 5.1943 5.1943 Å, 90.00 90.00 90.00°
Sites, in units of the cell vectors:
1 Cd 0.0128 0.5000 0.0000
2 Cd 0.0128 0.0000 0.5000
3 Ga 0.5680 0.0000 0.0000
4 Tc 0.5737 0.5000 0.5000
5 O 0.7134 0.2545 0.2545
6 O 0.7134 0.2545 0.7455
7 O 0.2239 0.5000 0.5000
8 O 0.2018 0.0000 0.0000
9 O 0.7134 0.7455 0.7455
10 O 0.7134 0.7455 0.2545

N(E_F), states/eV/f.u.: 4.0
Space group: P4mm

A geometry-optimized CdGaTc2O8 structure, computed with GGA-PBE.

Cell: 5.4282 5.4282 8.0475 Å, 90.00 90.00 120.00°
Sites, in units of the cell vectors:
1 Cd 0.0000 0.0000 0.0000
2 Ga 0.0000 0.0000 0.5000
3 Tc 0.6667 0.3333 0.2887
4 Tc 0.3333 0.6667 0.7113
5 O 0.3333 0.6667 0.9260
6 O 0.3234 0.2660 0.3549
7 O 0.7340 0.0574 0.3549
8 O 0.6667 0.3333 0.0740
9 O 0.2660 0.9426 0.6451
10 O 0.6766 0.7340 0.6451
11 O 0.0574 0.3234 0.6451
12 O 0.9426 0.6766 0.3549

N(E_F), states/eV/f.u.: 5.9
Space group: P-3

A geometry-optimized CdGaTe2O8 structure, computed with GGA-PBE.

Cell: 4.8529 4.8535 6.4833 Å, 90.00 90.00 85.22°
Sites, in units of the cell vectors:
1 Cd 0.0000 0.0000 0.5000
2 Ga 0.0000 0.0000 0.0000
3 Te 0.5000 0.5000 0.7561
4 Te 0.5000 0.5000 0.2439
5 O 0.2020 0.7980 0.2243
6 O 0.6864 0.6863 0.0000
7 O 0.7980 0.2019 0.2243
8 O 0.7980 0.2020 0.7757
9 O 0.3136 0.3137 0.0000
10 O 0.2020 0.7981 0.7757
11 O 0.6725 0.6724 0.5000
12 O 0.3275 0.3276 0.5000

N(E_F), states/eV/f.u.: 1.7
Space group: Cmmm

A geometry-optimized CdGa2TeO8 structure, computed with GGA-PBE.

Cell: 5.7522 5.7522 5.7522 Å, 109.79 109.79 108.84°
Sites, in units of the cell vectors:
1 Cd 0.0000 0.0000 0.0000
2 Ga 0.7500 0.2500 0.5000
3 Ga 0.5000 0.5000 0.0000
4 Te 0.2500 0.7500 0.5000
5 O 0.3601 0.0330 0.3271
6 O 0.3094 0.5139 0.2045
7 O 0.3094 0.1049 0.7955
8 O 0.7059 0.0330 0.6729
9 O 0.8951 0.6906 0.2045
10 O 0.9670 0.2941 0.3271
11 O 0.9670 0.6399 0.6729
12 O 0.4861 0.6906 0.7955

N(E_F), states/eV/f.u.: 8.4
Space group: I-4m2

A geometry-optimized TlCd2GaO5 structure, computed with GGA-PBE.

Cell: 3.3667 6.6821 11.6568 Å, 90.00 90.00 104.59°
Sites, in units of the cell vectors:
1 Tl 0.7925 0.5851 0.5432
2 Tl 0.2075 0.4149 0.0432
3 Cd 0.8172 0.6343 0.8169
4 Cd 0.0762 0.1523 0.6863
5 Cd 0.1828 0.3657 0.3169
6 Cd 0.9238 0.8477 0.1863
7 Ga 0.5093 0.0186 0.9356
8 Ga 0.4907 0.9814 0.4356
9 O 0.3573 0.7147 0.9419
10 O 0.6641 0.3282 0.9248
11 O 0.4947 0.9893 0.7725
12 O 0.2512 0.5023 0.6795
13 O 0.9794 0.9588 0.5232
14 O 0.6427 0.2853 0.4419
15 O 0.3359 0.6718 0.4248
16 O 0.5053 0.0107 0.2725
17 O 0.7488 0.4977 0.1795
18 O 0.0206 0.0412 0.0232

N(E_F), states/eV/f.u.: 3.7
Space group: Cmc2_1

Let's list VASP energy in order: -122.88, -49.57, -16.96, -17.27, -99.25, -86.68, -56.31, -78.90, -62.87, -59.97, -83.49 eV for the cell shown.